The following is a GGA-PBE calculation of a relaxed structure of MnCo2Si, from Alexandria via LeMat-Bulk.

Calculated density ... 6.66 g/cm³
Final energy ... -112.09 eV for the cell shown
Magnetic moment ... 20.74 μB per cell
N(E_F) ... 3.896 states/eV/f.u.
Space-group type ... I-42d, No. 122

Lattice parameters (Å, degrees): 3.472 3.472 16.626 90.00 90.00 90.00
Fractional positions:
Mn  0.000  0.000  0.000
Mn  0.000  0.500  0.250
Mn  0.500  0.000  0.750
Mn  0.500  0.500  0.500
Co  0.224  0.250  0.625
Co  0.250  0.724  0.875
Co  0.250  0.776  0.375
Co  0.276  0.250  0.125
Co  0.724  0.750  0.125
Co  0.750  0.224  0.375
Co  0.750  0.276  0.875
Co  0.776  0.750  0.625
Si  0.000  0.000  0.500
Si  0.000  0.500  0.750
Si  0.500  0.000  0.250
Si  0.500  0.500  0.000